<a>
Here is crystalline Zn6Cu2Pt at its relaxed geometry from the Alexandria database. Energies are from PBE.

```
data_Zn6Cu2Pt
_chemical_formula_sum 'Zn12 Cu4 Pt2'
_cell_length_a 4.418
_cell_length_b 7.151
_cell_length_c 8.466
_cell_angle_alpha 90.00
_cell_angle_beta 90.00
_cell_angle_gamma 90.00
_symmetry_space_group_name_H-M 'I m m m'
_symmetry_Int_Tables_number 71
_symmetry_space_group_name_Hall '-I 2 2'
loop_
_atom_site_label
_atom_site_type_symbol
_atom_site_fract_x
_atom_site_fract_y
_atom_site_fract_z
_atom_site_occupancy
Zn1 Zn 0.000 0.184 0.169 1
Zn2 Zn 0.000 0.199 0.500 1
Cu1 Cu 0.000 0.500 0.328 1
Pt1 Pt 0.000 0.500 0.000 1
```

Properties
* spin magnetization: 0.000 μB/cell

---

<b>
Here is crystalline Zn6Cu2Pt at its relaxed geometry from the Alexandria database. Energies are from PBE.

```
data_Zn6Cu2Pt
_chemical_formula_sum 'Zn12 Cu4 Pt2'
_cell_length_a 7.395
_cell_length_b 4.275
_cell_length_c 8.014
_cell_angle_alpha 90.00
_cell_angle_beta 90.17
_cell_angle_gamma 90.00
_symmetry_space_group_name_H-M 'C 1 2/m 1'
_symmetry_Int_Tables_number 12
loop_
_symmetry_equiv_pos_as_xyz
'x,y,z'
'-x,-y,-z'
'-x,y,-z'
'x,-y,z'
'x+1/2,y+1/2,z'
'-x+1/2,-y+1/2,-z'
'-x+1/2,y+1/2,-z'
'x+1/2,-y+1/2,z'
loop_
_atom_site_label
_atom_site_type_symbol
_atom_site_fract_x
_atom_site_fract_y
_atom_site_fract_z
_atom_site_occupancy
Zn1 Zn 0.000 0.000 0.173 1
Zn2 Zn 0.167 0.500 0.615 1
Zn3 Zn 0.167 0.500 0.959 1
Cu1 Cu 0.166 0.500 0.289 1
Pt1 Pt 0.000 0.000 0.500 1
```

Properties
* spin magnetization: 0.000 μB/cell

---

Stability ranking, top and bottom: <b> is the most stable and <a> is the least stable.

---

<a>
Here is crystalline ZnCu3Pt2 at its relaxed geometry from the Alexandria database. Energies are from PBE.

```
data_ZnCu3Pt2
_chemical_formula_sum 'Zn2 Cu6 Pt4'
_cell_length_a 5.302
_cell_length_b 3.846
_cell_length_c 8.002
_cell_angle_alpha 90.00
_cell_angle_beta 91.29
_cell_angle_gamma 90.00
_symmetry_space_group_name_H-M 'P 1 21/m 1'
_symmetry_Int_Tables_number 11
loop_
_symmetry_equiv_pos_as_xyz
'x,y,z'
'-x,-y,-z'
'-x,y+1/2,-z'
'x,-y+1/2,z'
loop_
_atom_site_label
_atom_site_type_symbol
_atom_site_fract_x
_atom_site_fract_y
_atom_site_fract_z
_atom_site_occupancy
Zn1 Zn 0.116 0.250 0.248 1
Cu1 Cu 0.134 0.250 0.579 1
Cu2 Cu 0.375 0.750 0.078 1
Cu3 Cu 0.385 0.750 0.749 1
Pt1 Pt 0.135 0.250 0.908 1
Pt2 Pt 0.361 0.750 0.409 1
```

Properties
* spin magnetization: 0.000 μB/cell

---

<b>
Here is crystalline ZnCu3Pt2 at its relaxed geometry from the Alexandria database. Energies are from PBE.

```
data_ZnCu3Pt2
_chemical_formula_sum 'Zn2 Cu6 Pt4'
_cell_length_a 3.766
_cell_length_b 11.504
_cell_length_c 3.763
_cell_angle_alpha 90.00
_cell_angle_beta 90.00
_cell_angle_gamma 90.00
_symmetry_space_group_name_H-M 'C m m m'
_symmetry_Int_Tables_number 65
_symmetry_space_group_name_Hall '-C 2 2'
loop_
_atom_site_label
_atom_site_type_symbol
_atom_site_fract_x
_atom_site_fract_y
_atom_site_fract_z
_atom_site_occupancy
Zn1 Zn 0.000 0.000 0.000 1
Cu1 Cu 0.000 0.169 0.500 1
Cu2 Cu 0.000 0.500 0.500 1
Pt1 Pt 0.000 0.340 0.000 1
```

Properties
* spin magnetization: 0.000 μB/cell

---

Stability ranking, top and bottom: <b> is the most stable and <a> is the least stable.

---

<a>
Here is crystalline Zn4Cu5Pt at its relaxed geometry from the Alexandria database. Energies are from PBE.

```
data_Zn4Cu5Pt
_chemical_formula_sum 'Zn8 Cu10 Pt2'
_cell_length_a 7.497
_cell_length_b 8.566
_cell_length_c 4.410
_cell_angle_alpha 90.00
_cell_angle_beta 90.00
_cell_angle_gamma 90.00
_symmetry_space_group_name_H-M 'P m m n'
_symmetry_Int_Tables_number 59
loop_
_symmetry_equiv_pos_as_xyz
'x,y,z'
'-x,-y,-z'
'-x+1/2,-y+1/2,z'
'x+1/2,y+1/2,-z'
'x+1/2,-y,-z'
'-x+1/2,y,z'
'-x,y+1/2,-z'
'x,-y+1/2,z'
loop_
_atom_site_label
_atom_site_type_symbol
_atom_site_fract_x
_atom_site_fract_y
_atom_site_fract_z
_atom_site_occupancy
Zn1 Zn 0.052 0.250 0.026 1
Zn2 Zn 0.250 0.554 0.241 1
Cu1 Cu 0.082 0.503 0.744 1
Cu2 Cu 0.250 0.750 0.705 1
Pt1 Pt 0.250 0.250 0.525 1
```

Properties
* spin magnetization: 0.000 μB/cell

---

<b>
Here is crystalline Zn4Cu5Pt at its relaxed geometry from the Alexandria database. Energies are from PBE.

```
data_Zn4Cu5Pt
_chemical_formula_sum 'Zn8 Cu10 Pt2'
_cell_length_a 13.528
_cell_length_b 3.795
_cell_length_c 5.248
_cell_angle_alpha 90.00
_cell_angle_beta 100.74
_cell_angle_gamma 90.00
_symmetry_space_group_name_H-M 'C 1 2/m 1'
_symmetry_Int_Tables_number 12
loop_
_symmetry_equiv_pos_as_xyz
'x,y,z'
'-x,-y,-z'
'-x,y,-z'
'x,-y,z'
'x+1/2,y+1/2,z'
'-x+1/2,-y+1/2,-z'
'-x+1/2,y+1/2,-z'
'x+1/2,-y+1/2,z'
loop_
_atom_site_label
_atom_site_type_symbol
_atom_site_fract_x
_atom_site_fract_y
_atom_site_fract_z
_atom_site_occupancy
Zn1 Zn 0.096 0.000 0.306 1
Zn2 Zn 0.200 0.500 0.100 1
Cu1 Cu 0.000 0.500 0.500 1
Cu2 Cu 0.105 0.000 0.795 1
Cu3 Cu 0.201 0.500 0.599 1
Pt1 Pt 0.000 0.500 0.000 1
```

Properties
* spin magnetization: 0.000 μB/cell

---

Stability ranking, top and bottom: <b> is the most stable and <a> is the least stable.

---

<a>
Here is crystalline ZnCu4Pt at its relaxed geometry from the Alexandria database. Energies are from PBE.

```
data_ZnCu4Pt
_chemical_formula_sum 'Zn4 Cu16 Pt4'
_cell_length_a 6.805
_cell_length_b 6.805
_cell_length_c 6.805
_cell_angle_alpha 90.00
_cell_angle_beta 90.00
_cell_angle_gamma 90.00
_symmetry_space_group_name_H-M 'F -4 3 m'
_symmetry_Int_Tables_number 216
_symmetry_space_group_name_Hall 'F -4 2 3'
loop_
_atom_site_label
_atom_site_type_symbol
_atom_site_fract_x
_atom_site_fract_y
_atom_site_fract_z
_atom_site_occupancy
Zn1 Zn 0.000 0.000 0.000 1
Cu1 Cu 0.125 0.125 0.625 1
Pt1 Pt 0.250 0.250 0.250 1
```

Properties
* spin magnetization: 0.000 μB/cell

---

<b>
Here is crystalline ZnCu4Pt at its relaxed geometry from the Alexandria database. Energies are from PBE.

```
data_ZnCu4Pt
_chemical_formula_sum 'Zn2 Cu8 Pt2'
_cell_length_a 8.347
_cell_length_b 3.768
_cell_length_c 5.243
_cell_angle_alpha 90.00
_cell_angle_beta 109.46
_cell_angle_gamma 90.00
_symmetry_space_group_name_H-M 'C 1 2/m 1'
_symmetry_Int_Tables_number 12
loop_
_symmetry_equiv_pos_as_xyz
'x,y,z'
'-x,-y,-z'
'-x,y,-z'
'x,-y,z'
'x+1/2,y+1/2,z'
'-x+1/2,-y+1/2,-z'
'-x+1/2,y+1/2,-z'
'x+1/2,-y+1/2,z'
loop_
_atom_site_label
_atom_site_type_symbol
_atom_site_fract_x
_atom_site_fract_y
_atom_site_fract_z
_atom_site_occupancy
Zn1 Zn 0.000 0.000 0.000 1
Cu1 Cu 0.167 0.500 0.331 1
Cu2 Cu 0.171 0.500 0.837 1
Pt1 Pt 0.000 0.000 0.500 1
```

Properties
* spin magnetization: 0.000 μB/cell

---

<c>
Here is crystalline ZnCu4Pt at its relaxed geometry from the Alexandria database. Energies are from PBE.

```
data_ZnCu4Pt
_chemical_formula_sum 'Zn2 Cu8 Pt2'
_cell_length_a 4.193
_cell_length_b 7.283
_cell_length_c 5.131
_cell_angle_alpha 90.00
_cell_angle_beta 90.00
_cell_angle_gamma 90.00
_symmetry_space_group_name_H-M 'C m m m'
_symmetry_Int_Tables_number 65
_symmetry_space_group_name_Hall '-C 2 2'
loop_
_atom_site_label
_atom_site_type_symbol
_atom_site_fract_x
_atom_site_fract_y
_atom_site_fract_z
_atom_site_occupancy
Zn1 Zn 0.000 0.000 0.000 1
Cu1 Cu 0.000 0.333 0.251 1
Pt1 Pt 0.000 0.000 0.500 1
```

Properties
* spin magnetization: 0.000 μB/cell

---

Stability ranking, top and bottom: <b> is the most stable and <a> is the least stable.

---

<a>
Here is crystalline Zn8CuPt2 at its relaxed geometry from the Alexandria database. Energies are from PBE.

```
data_Zn8CuPt2
_chemical_formula_sum 'Zn16 Cu2 Pt4'
_cell_length_a 4.129
_cell_length_b 7.277
_cell_length_c 11.007
_cell_angle_alpha 90.00
_cell_angle_beta 90.00
_cell_angle_gamma 90.00
_symmetry_space_group_name_H-M 'I m m m'
_symmetry_Int_Tables_number 71
_symmetry_space_group_name_Hall '-I 2 2'
loop_
_atom_site_label
_atom_site_type_symbol
_atom_site_fract_x
_atom_site_fract_y
_atom_site_fract_z
_atom_site_occupancy
Zn1 Zn 0.000 0.000 0.137 1
Zn2 Zn 0.000 0.212 0.350 1
Zn3 Zn 0.000 0.315 0.000 1
Cu1 Cu 0.000 0.500 0.500 1
Pt1 Pt 0.000 0.500 0.208 1
```

Properties
* spin magnetization: 0.000 μB/cell

---

<b>
Here is crystalline Zn8CuPt2 at its relaxed geometry from the Alexandria database. Energies are from PBE.

```
data_Zn8CuPt2
_chemical_formula_sum 'Zn16 Cu2 Pt4'
_cell_length_a 7.775
_cell_length_b 10.373
_cell_length_c 4.197
_cell_angle_alpha 90.00
_cell_angle_beta 90.00
_cell_angle_gamma 90.00
_symmetry_space_group_name_H-M 'C m m m'
_symmetry_Int_Tables_number 65
_symmetry_space_group_name_Hall '-C 2 2'
loop_
_atom_site_label
_atom_site_type_symbol
_atom_site_fract_x
_atom_site_fract_y
_atom_site_fract_z
_atom_site_occupancy
Zn1 Zn 0.000 0.237 0.000 1
Zn2 Zn 0.166 0.130 0.500 1
Zn3 Zn 0.170 0.500 0.000 1
Cu1 Cu 0.000 0.000 0.000 1
Pt1 Pt 0.000 0.367 0.500 1
```

Properties
* spin magnetization: 0.000 μB/cell

---

Stability ranking, top and bottom: <a> is the most stable and <b> is the least stable.

---

<a>
Here is crystalline Zn4CuPt2 at its relaxed geometry from the Alexandria database. Energies are from PBE.

```
data_Zn4CuPt2
_chemical_formula_sum 'Zn8 Cu2 Pt4'
_cell_length_a 4.744
_cell_length_b 7.103
_cell_length_c 6.576
_cell_angle_alpha 90.00
_cell_angle_beta 91.84
_cell_angle_gamma 90.00
_symmetry_space_group_name_H-M 'P 1 21/c 1'
_symmetry_Int_Tables_number 14
loop_
_symmetry_equiv_pos_as_xyz
'x,y,z'
'-x,-y,-z'
'-x,y+1/2,-z+1/2'
'x,-y+1/2,z+1/2'
loop_
_atom_site_label
_atom_site_type_symbol
_atom_site_fract_x
_atom_site_fract_y
_atom_site_fract_z
_atom_site_occupancy
Zn1 Zn 0.069 0.195 0.498 1
Zn2 Zn 0.374 0.658 0.340 1
Cu1 Cu 0.500 0.000 0.500 1
Pt1 Pt 0.156 0.515 0.686 1
```

Properties
* spin magnetization: 0.000 μB/cell

---

<b>
Here is crystalline Zn4CuPt2 at its relaxed geometry from the Alexandria database. Energies are from PBE.

```
data_Zn4CuPt2
_chemical_formula_sum 'Zn8 Cu2 Pt4'
_cell_length_a 6.482
_cell_length_b 4.955
_cell_length_c 7.100
_cell_angle_alpha 90.00
_cell_angle_beta 115.39
_cell_angle_gamma 90.00
_symmetry_space_group_name_H-M 'P 1 21/m 1'
_symmetry_Int_Tables_number 11
loop_
_symmetry_equiv_pos_as_xyz
'x,y,z'
'-x,-y,-z'
'-x,y+1/2,-z'
'x,-y+1/2,z'
loop_
_atom_site_label
_atom_site_type_symbol
_atom_site_fract_x
_atom_site_fract_y
_atom_site_fract_z
_atom_site_occupancy
Zn1 Zn 0.020 0.250 0.431 1
Zn2 Zn 0.061 0.250 0.823 1
Zn3 Zn 0.402 0.002 0.768 1
Cu1 Cu 0.243 0.250 0.221 1
Pt1 Pt 0.210 0.750 0.985 1
Pt2 Pt 0.366 0.750 0.429 1
```

Properties
* spin magnetization: 0.000 μB/cell

---

Stability ranking, top and bottom: <a> is the most stable and <b> is the least stable.

---

<a>
Here is crystalline ZrCuPt at its relaxed geometry from the Alexandria database. Energies are from PBE.

```
data_ZrCuPt
_chemical_formula_sum 'Zr4 Cu4 Pt4'
_cell_length_a 4.597
_cell_length_b 9.040
_cell_length_c 4.715
_cell_angle_alpha 90.00
_cell_angle_beta 90.00
_cell_angle_gamma 90.00
_symmetry_space_group_name_H-M 'C m c m'
_symmetry_Int_Tables_number 63
_symmetry_space_group_name_Hall '-C 2c 2'
loop_
_atom_site_label
_atom_site_type_symbol
_atom_site_fract_x
_atom_site_fract_y
_atom_site_fract_z
_atom_site_occupancy
Zr1 Zr 0.000 0.104 0.250 1
Cu1 Cu 0.000 0.246 0.750 1
Pt1 Pt 0.000 0.410 0.250 1
```

Properties
* spin magnetization: 0.000 μB/cell

---

<b>
Here is crystalline ZrCuPt at its relaxed geometry from the Alexandria database. Energies are from PBE.

```
data_ZrCuPt
_chemical_formula_sum 'Zr1 Cu1 Pt1'
_cell_length_a 4.4653
_cell_length_b 4.4653
_cell_length_c 2.8911
_cell_angle_alpha 90.00
_cell_angle_beta 90.00
_cell_angle_gamma 120.00
_symmetry_space_group_name_H-M 'P -6 m 2'
_symmetry_Int_Tables_number 187
_symmetry_space_group_name_Hall 'P -6 2'
loop_
_atom_site_label
_atom_site_type_symbol
_atom_site_fract_x
_atom_site_fract_y
_atom_site_fract_z
_atom_site_occupancy
Zr1 Zr 0.0000 0.0000 0.0000 1
Cu1 Cu 0.6667 0.3333 0.5000 1
Pt1 Pt 0.3333 0.6667 0.5000 1
```

Properties
* spin magnetization: 0.000 μB/cell

---

<c>
Here is crystalline ZrCuPt at its relaxed geometry from the Alexandria database. Energies are from PBE.

```
data_ZrCuPt
_chemical_formula_sum 'Zr2 Cu2 Pt2'
_cell_length_a 3.469
_cell_length_b 3.469
_cell_length_c 8.415
_cell_angle_alpha 90.00
_cell_angle_beta 90.00
_cell_angle_gamma 90.00
_symmetry_space_group_name_H-M 'I 4 m m'
_symmetry_Int_Tables_number 107
_symmetry_space_group_name_Hall 'I 4 -2'
loop_
_atom_site_label
_atom_site_type_symbol
_atom_site_fract_x
_atom_site_fract_y
_atom_site_fract_z
_atom_site_occupancy
Zr1 Zr 0.000 0.000 0.000 1
Cu1 Cu 0.000 0.000 0.672 1
Pt1 Pt 0.000 0.000 0.339 1
```

Properties
* spin magnetization: 0.000 μB/cell

---

Stability ranking, top and bottom: <c> is the most stable and <a> is the least stable.

---

<a>
Here is crystalline ZrCuPt at its relaxed geometry from the Alexandria database. Energies are from PBE.

```
data_ZrCuPt
_chemical_formula_sum 'Zr4 Cu4 Pt4'
_cell_length_a 6.196
_cell_length_b 6.196
_cell_length_c 6.196
_cell_angle_alpha 90.00
_cell_angle_beta 90.00
_cell_angle_gamma 90.00
_symmetry_space_group_name_H-M 'F -4 3 m'
_symmetry_Int_Tables_number 216
_symmetry_space_group_name_Hall 'F -4 2 3'
loop_
_atom_site_label
_atom_site_type_symbol
_atom_site_fract_x
_atom_site_fract_y
_atom_site_fract_z
_atom_site_occupancy
Zr1 Zr 0.000 0.000 0.000 1
Cu1 Cu 0.000 0.000 0.500 1
Pt1 Pt 0.250 0.250 0.250 1
```

Properties
* spin magnetization: 0.000 μB/cell

---

<b>
Here is crystalline ZrCuPt at its relaxed geometry from the Alexandria database. Energies are from PBE.

```
data_ZrCuPt
_chemical_formula_sum 'Zr1 Cu1 Pt1'
_cell_length_a 2.9601
_cell_length_b 2.9601
_cell_length_c 6.6893
_cell_angle_alpha 90.00
_cell_angle_beta 90.00
_cell_angle_gamma 120.00
_symmetry_space_group_name_H-M 'P 3 m 1'
_symmetry_Int_Tables_number 156
loop_
_symmetry_equiv_pos_as_xyz
'x,y,z'
'-y,x-y,z'
'-x+y,-x,z'
'-y,-x,z'
'-x+y,y,z'
'x,x-y,z'
loop_
_atom_site_label
_atom_site_type_symbol
_atom_site_fract_x
_atom_site_fract_y
_atom_site_fract_z
_atom_site_occupancy
Zr1 Zr 0.0000 0.0000 0.0000 1
Cu1 Cu 0.6667 0.3333 0.3414 1
Pt1 Pt 0.3333 0.6667 0.6533 1
```

Properties
* spin magnetization: 0.000 μB/cell

---

<c>
Here is crystalline ZrCuPt at its relaxed geometry from the Alexandria database. Energies are from PBE.

```
data_ZrCuPt
_chemical_formula_sum 'Zr4 Cu4 Pt4'
_cell_length_a 6.240
_cell_length_b 6.240
_cell_length_c 6.240
_cell_angle_alpha 90.00
_cell_angle_beta 90.00
_cell_angle_gamma 90.00
_symmetry_space_group_name_H-M 'F -4 3 m'
_symmetry_Int_Tables_number 216
_symmetry_space_group_name_Hall 'F -4 2 3'
loop_
_atom_site_label
_atom_site_type_symbol
_atom_site_fract_x
_atom_site_fract_y
_atom_site_fract_z
_atom_site_occupancy
Zr1 Zr 0.000 0.000 0.000 1
Cu1 Cu 0.250 0.250 0.750 1
Pt1 Pt 0.250 0.250 0.250 1
```

Properties
* spin magnetization: 0.000 μB/cell

---

Stability ranking, top and bottom: <a> is the most stable and <c> is the least stable.